# SCAN Ge3BAu, single point on PBEsol structure
# ΔE_f   147.7 kJ/mol of atoms
# Energy   -25.24 eV per atom
data_Ge3BAu
_chemical_formula_sum 'Ge3 B1 Au1'
_cell_length_a 4.908
_cell_length_b 4.908
_cell_length_c 4.908
_cell_angle_alpha 90.00
_cell_angle_beta 90.00
_cell_angle_gamma 90.00
_space_group_name_H-M_alt 'P 1'
_space_group_IT_number 1
_space_group_name_Hall 'P 1'
loop_
_atom_site_label
_atom_site_type_symbol
_atom_site_fract_x
_atom_site_fract_y
_atom_site_fract_z
B1 B 0.500 0.500 0.500
Ge1 Ge 0.000 0.000 0.500
Au1 Au 0.000 0.000 0.000
Ge2 Ge 0.000 0.500 0.000
Ge3 Ge 0.500 0.000 0.000